# 1
Material: K2YAuO4
Method: DFT, PBE
State: optimized geometry

Structure (extended XYZ):
```
16
Lattice="6.241 0.000 0.000 3.120 7.188 0.000 3.120 0.000 11.981" Properties=species:S:1:pos:R:3 pbc="T T T"
O 4.597 1.430 0.015
O 6.157 2.165 6.006
O 4.765 1.430 11.966
O 10.838 5.759 11.966
O 4.765 5.759 0.015
O 9.445 5.024 6.006
O 6.157 5.024 5.975
O 3.204 2.165 5.975
K 6.241 0.000 4.774
K 7.801 3.594 10.765
K 3.120 0.000 7.207
K 7.801 3.594 1.216
Y 7.801 3.594 5.990
Y 0.000 0.000 0.000
Au 4.681 3.594 5.990
Au 3.120 0.000 0.000
```

Output
Its volume is 33.59 Å³/atom. The calculation puts the final energy at -5.33 eV per atom. The total magnetic moment comes out at 0.0 μB/cell. Its crystal system is orthorhombic.

---

# 2
Material: KZnAuO2
Method: DFT, PBE
State: optimized geometry

Structure (extended XYZ):
```
10
Lattice="5.333 0.000 0.000 0.000 5.808 0.000 0.000 -2.904 5.967" Properties=species:S:1:pos:R:3 pbc="T T T"
Zn 2.666 4.356 0.000
Zn 2.666 1.452 0.000
O 1.765 0.000 4.841
O 1.765 0.000 1.127
O 3.568 2.904 1.127
O 3.568 2.904 4.841
K 3.776 0.000 2.984
K 1.556 2.904 2.984
Au 0.000 2.904 0.000
Au 0.000 0.000 0.000
```

Output
Its volume is 18.48 Å³/atom. The calculation puts the final energy at -4.08 eV per atom. The total magnetic moment comes out at 0.0 μB/cell. Its crystal system is orthorhombic.

---

# 3
Material: K2ZnAuO
Method: DFT, PBE
State: optimized geometry

Structure (extended XYZ):
```
5
Lattice="-2.770 -3.035 -4.024 -1.206 -4.059 3.892 -3.351 1.861 0.903" Properties=species:S:1:pos:R:3 pbc="T T T"
Zn -1.676 0.931 0.451
K -1.385 -1.518 -2.012
K -0.603 -2.029 1.946
Au -3.663 -2.616 0.386
O 0.000 0.000 0.000
```

Output
The density of states at the Fermi level comes out at 0.67 states/eV/f.u. Its volume is 26.05 Å³/atom. The calculation puts the final energy at -2.98 eV per atom. The total magnetic moment comes out at 0.0 μB/cell. Its crystal system is tetragonal.

---

# 4
Material: KOs3Au
Method: DFT, PBE
State: optimized geometry

Structure (extended XYZ):
```
5
Lattice="4.577 0.000 0.000 0.000 4.577 0.000 0.000 0.000 4.577" Properties=species:S:1:pos:R:3 pbc="T T T"
Os 2.289 0.000 0.000
Os 0.000 0.000 2.289
Os 0.000 2.289 0.000
Au 2.289 2.289 2.289
K 0.000 0.000 0.000
```

Output
The calculation puts the calculated formation energy at 3.84 eV/atom. The density of states at the Fermi level comes out at 6.45 states/eV/f.u. Its volume is 19.18 Å³/atom. For the excess energy over the best structure of this formula in the dataset, the calculation gives 5.684 eV/f.u. The total magnetic moment comes out at 2.6 μB/cell. Its crystal system is cubic.

---

# 5
Material: KOsAu
Method: DFT, PBE
State: optimized geometry

Structure (extended XYZ):
```
3
Lattice="-0.903 -3.680 -7.056 1.672 -2.722 -7.344 0.999 -2.496 0.633" Properties=species:S:1:pos:R:3 pbc="T T T"
Au 0.996 -2.560 0.389
K 0.923 -3.788 -4.339
Os 0.849 -5.047 -9.185
```

Output
The calculation puts the calculated formation energy at 0.88 eV/atom. The density of states at the Fermi level comes out at 1.35 states/eV/f.u. Its volume is 19.76 Å³/atom. For the excess energy over the best structure of this formula in the dataset, the calculation gives 0.473 eV/f.u. The total magnetic moment comes out at 0.0 μB/cell. Its crystal system is tetragonal.

---

# 6
Material: KOsAu2
Method: DFT, PBE
State: optimized geometry

Structure (extended XYZ):
```
4
Lattice="5.576 0.028 0.000 2.492 4.988 0.000 -4.034 -2.508 2.920" Properties=species:S:1:pos:R:3 pbc="T T T"
Au 1.246 2.494 1.460
Au 0.000 0.000 0.000
K 4.034 2.508 0.000
Os 2.788 0.014 1.460
```

Output
The calculation puts the calculated formation energy at 1.05 eV/atom. The density of states at the Fermi level comes out at 3.43 states/eV/f.u. Its volume is 20.25 Å³/atom. For the excess energy over the best structure of this formula in the dataset, the calculation gives 2.167 eV/f.u. The total magnetic moment comes out at 2.3 μB/cell. Its crystal system is tetragonal.

---

# 7
Material: KOsAu2
Method: DFT, PBE
State: optimized geometry

Structure (extended XYZ):
```
4
Lattice="7.154 0.381 -0.561 6.505 3.002 -0.561 0.395 0.098 4.769" Properties=species:S:1:pos:R:3 pbc="T T T"
Au 12.642 3.131 -0.441
Au 10.797 2.674 2.121
Os 3.486 0.863 0.322
K 7.815 1.936 2.345
```

Output
The calculation puts the calculated formation energy at 0.53 eV/atom. The density of states at the Fermi level comes out at 2.05 states/eV/f.u. Its volume is 22.80 Å³/atom. For the excess energy over the best structure of this formula in the dataset, the calculation gives 0.099 eV/f.u. The total magnetic moment comes out at 0.0 μB/cell. Its crystal system is monoclinic.

---

# 8
Material: KOs4Au
Method: DFT, PBE
State: optimized geometry

Structure (extended XYZ):
```
6
Lattice="0.033 -5.235 0.884 -4.145 -2.969 -1.480 0.471 -3.376 -4.070" Properties=species:S:1:pos:R:3 pbc="T T T"
Au -2.730 -8.685 -3.500
Os -1.133 -6.029 -3.777
Os -1.368 -4.350 -1.753
Os -3.429 -5.827 -2.489
Os -1.351 -6.954 -1.313
K 0.000 0.000 0.000
```

Output
The calculation puts the calculated formation energy at 1.16 eV/atom. The density of states at the Fermi level comes out at 7.35 states/eV/f.u. Its volume is 17.64 Å³/atom. The total magnetic moment comes out at 0.0 μB/cell. Its crystal system is cubic.

---

# 9
Material: KOsAu2
Method: DFT, PBE
State: optimized geometry

Structure (extended XYZ):
```
4
Lattice="-4.253 1.093 1.690 -4.041 -1.637 1.770 2.163 0.367 6.842" Properties=species:S:1:pos:R:3 pbc="T T T"
Au -3.315 -0.120 4.724
Au -8.044 -0.512 3.887
Os -1.533 -0.044 2.576
K -4.598 -0.133 7.727
```

Output
The calculation puts the calculated formation energy at 0.61 eV/atom. The density of states at the Fermi level comes out at 4.87 states/eV/f.u. Its volume is 22.07 Å³/atom. For the excess energy over the best structure of this formula in the dataset, the calculation gives 0.398 eV/f.u. The total magnetic moment comes out at 0.4 μB/cell. Its crystal system is monoclinic.

---

# 10
Material: K3OsAu
Method: DFT, PBE
State: optimized geometry

Structure (extended XYZ):
```
5
Lattice="-1.233 -3.876 -4.547 -3.104 -3.551 3.869 -5.105 3.096 -1.254" Properties=species:S:1:pos:R:3 pbc="T T T"
Au -4.721 -2.165 -0.966
K -2.552 1.548 -0.627
K -0.617 -1.938 -2.274
K -1.552 -1.776 1.935
Os 0.000 0.000 0.000
```

Output
The calculation puts the calculated formation energy at 1.07 eV/atom. The density of states at the Fermi level comes out at 0.00 states/eV/f.u. Its volume is 45.41 Å³/atom. For the excess energy over the best structure of this formula in the dataset, the calculation gives 0.000 eV/f.u. The total magnetic moment comes out at 2.0 μB/cell. Its crystal system is cubic.

---

# 11
Material: KOsAu2
Method: DFT, PBE
State: optimized geometry

Structure (extended XYZ):
```
4
Lattice="4.843 0.000 0.000 2.422 4.194 0.000 2.422 1.398 3.954" Properties=species:S:1:pos:R:3 pbc="T T T"
K 4.843 2.796 1.977
Au 2.422 1.398 0.989
Au 0.000 0.000 0.000
Os 7.265 4.194 2.966
```

Output
The calculation puts the calculated formation energy at 1.19 eV/atom. The density of states at the Fermi level comes out at 3.98 states/eV/f.u. Its volume is 20.08 Å³/atom. For the excess energy over the best structure of this formula in the dataset, the calculation gives 2.729 eV/f.u. The total magnetic moment comes out at 2.3 μB/cell. Its crystal system is cubic.

---

# 12
Material: KOsAu
Method: DFT, PBE
State: optimized geometry

Structure (extended XYZ):
```
3
Lattice="-3.536 0.670 5.367 -1.425 -4.130 4.761 3.860 3.565 -3.761" Properties=species:S:1:pos:R:3 pbc="T T T"
K -1.653 -1.153 3.374
Au -0.299 -0.209 0.611
Os -3.009 -2.099 6.143
```

Output
The calculation puts the calculated formation energy at 0.72 eV/atom. The density of states at the Fermi level comes out at 3.06 states/eV/f.u. Its volume is 24.04 Å³/atom. For the excess energy over the best structure of this formula in the dataset, the calculation gives 0.000 eV/f.u. The total magnetic moment comes out at 0.1 μB/cell. Its crystal system is orthorhombic.

---

# 13
Material: K2Os2Au
Method: DFT, PBE
State: optimized geometry

Structure (extended XYZ):
```
10
Lattice="-4.042 -1.102 -5.169 0.947 -6.554 0.657 -4.376 -0.283 3.483" Properties=species:S:1:pos:R:3 pbc="T T T"
K -5.197 -3.135 -2.283
K -3.307 -1.679 0.211
K -2.275 -4.804 1.253
K -4.165 -6.260 -1.240
Os -2.393 -1.471 -3.127
Os -0.126 -2.622 -0.372
Os -2.969 -5.034 -4.140
Os -0.702 -6.185 -1.385
Au -1.548 -3.828 -2.256
Au 0.000 0.000 0.000
```

Output
The calculation puts the calculated formation energy at 0.92 eV/atom. The density of states at the Fermi level comes out at 6.40 states/eV/f.u. Its volume is 24.80 Å³/atom. For the excess energy over the best structure of this formula in the dataset, the calculation gives 0.000 eV/f.u. The total magnetic moment comes out at 2.2 μB/cell. Its crystal system is tetragonal.

---

# 14
Material: KOsAu2
Method: DFT, PBE
State: optimized geometry

Structure (extended XYZ):
```
4
Lattice="5.307 0.000 0.000 0.000 5.307 0.000 0.000 0.000 2.712" Properties=species:S:1:pos:R:3 pbc="T T T"
Os 0.000 2.654 1.356
K 2.654 0.000 1.356
Au 0.000 0.000 0.000
Au 2.654 2.654 0.000
```

Output
The calculation puts the calculated formation energy at 0.54 eV/atom. The density of states at the Fermi level comes out at 3.29 states/eV/f.u. Its volume is 19.10 Å³/atom. For the excess energy over the best structure of this formula in the dataset, the calculation gives 0.140 eV/f.u. The total magnetic moment comes out at 0.0 μB/cell. Its crystal system is tetragonal.